# Tl2In15Pb2, relaxed, DFT GGA-PBE
# Formation enthalpy at 0 K: 0.07 eV/atom
# Energy above the most stable polymorph in this dataset: 14.1 meV per atom
# Theoretical density: 7.6 g/cm3
data_Tl2In15Pb2
_chemical_formula_sum 'Tl6 In45 Pb6'
_cell_length_a 9.2734
_cell_length_b 9.2734
_cell_length_c 22.3479
_cell_angle_alpha 90.00
_cell_angle_beta 90.00
_cell_angle_gamma 120.00
_space_group_name_H-M_alt 'R -3 m'
_space_group_IT_number 166
_space_group_name_Hall '-R 3 2"'
loop_
_atom_site_label
_atom_site_type_symbol
_atom_site_fract_x
_atom_site_fract_y
_atom_site_fract_z
Tl1 Tl 0.0000 0.0000 0.0867
In1 In 0.0000 0.3223 0.0000
In2 In 0.0000 0.5000 0.5000
In3 In 0.0928 0.5464 0.1122
Pb1 Pb 0.0000 0.0000 0.2574